# 1
# HfIn4 PBE optimized geometry
data_HfIn4
_chemical_formula_sum 'Hf1 In4'
_cell_length_a 5.6214
_cell_length_b 5.6214
_cell_length_c 5.6214
_cell_angle_alpha 90.00
_cell_angle_beta 90.00
_cell_angle_gamma 90.00
_symmetry_space_group_name_H-M 'P m -3 m'
_symmetry_Int_Tables_number 221
_symmetry_space_group_name_Hall '-P 4 2 3'
loop_
_atom_site_label
_atom_site_type_symbol
_atom_site_fract_x
_atom_site_fract_y
_atom_site_fract_z
Hf1 Hf 0.0000 0.0000 0.0000
In1 In 0.0000 0.0000 0.5000
In2 In 0.5000 0.5000 0.5000
# total energy = -3.6373 eV per atom
# crystal system = cubic



# 2
# HfIn PBE optimized geometry
data_HfIn
_chemical_formula_sum 'Hf3 In3'
_cell_length_a 5.4248
_cell_length_b 3.1304
_cell_length_c 7.9208
_cell_angle_alpha 90.00
_cell_angle_beta 103.13
_cell_angle_gamma 90.00
_symmetry_space_group_name_H-M 'P 1 2/m 1'
_symmetry_Int_Tables_number 10
loop_
_symmetry_equiv_pos_as_xyz
'x,y,z'
'-x,-y,-z'
'-x,y,-z'
'x,-y,z'
loop_
_atom_site_label
_atom_site_type_symbol
_atom_site_fract_x
_atom_site_fract_y
_atom_site_fract_z
Hf1 Hf 0.0000 0.0000 0.0000
Hf2 Hf 0.2123 0.0000 0.6728
In1 In 0.2782 0.5000 0.3371
In2 In 0.5000 0.5000 0.0000
# total energy = -6.4503 eV per atom
# crystal system = monoclinic



E_form? In order: 0.544; -0.104 eV per atom.
Total moment? In order: 0.29; 0.00 μB per cell.
Ρ? In order: 5.96; 11.15 Mg/m³.